Entry 1:
Ce2NdRh: optimized geometry, PBE-GGA.

CIF file:
```
data_Ce2NdRh
_chemical_formula_sum 'Ce8 Nd4 Rh4'
_space_group_name_H-M_alt 'C m c m'
_space_group_IT_number 63
_space_group_name_Hall '-C 2c 2'
_cell_length_a 3.727
_cell_length_b 11.675
_cell_length_c 9.805
_cell_angle_alpha 90.00
_cell_angle_beta 90.00
_cell_angle_gamma 90.00
loop_
_atom_site_label
_atom_site_fract_x
_atom_site_fract_y
_atom_site_fract_z
Ce1 0.000 0.139 0.056
Nd1 0.000 0.420 0.250
Rh1 0.000 0.298 0.750
```

Output
Size of the total moment   0.65 μB per formula unit
ΔE_f   -373 meV/atom
Excess energy over the best structure of this formula in the dataset   1 meV per atom
Energy   -6.3698 eV per atom

=====

Entry 2:
Zr2TaB6: optimized geometry, PBE-GGA.

CIF file:
```
data_Zr2TaB6
_chemical_formula_sum 'Zr2 Ta1 B6'
_space_group_name_H-M_alt 'P 6/m m m'
_space_group_IT_number 191
_space_group_name_Hall '-P 6 2'
_cell_length_a 5.4653
_cell_length_b 5.4653
_cell_length_c 3.4563
_cell_angle_alpha 90.00
_cell_angle_beta 90.00
_cell_angle_gamma 120.00
loop_
_atom_site_label
_atom_site_fract_x
_atom_site_fract_y
_atom_site_fract_z
Zr1 0.3333 0.6667 0.0000
Ta1 0.0000 0.0000 0.0000
B1 0.0000 0.3292 0.5000
```

Output
Size of the total moment   0.00 μB per formula unit
ΔE_f   -894 meV/atom
Energy   -8.5621 eV per atom